[1]
Here is a relaxed AlRePd2 crystal from Alexandria. Energies are from GGA-PBE.

Symmetry: No. 122
Total energy (eV per atom): -6.366

Cell lengths 3.770, 3.770, 18.160 Å; angles 90.00, 90.00, 90.00 degrees
Sites, in units of the cell vectors:
Al: 0.000 0.000 0.000
Al: 0.000 0.500 0.250
Al: 0.500 0.000 0.750
Al: 0.500 0.500 0.500
Re: 0.000 0.000 0.500
Re: 0.000 0.500 0.750
Re: 0.500 0.000 0.250
Re: 0.500 0.500 0.000
Pd: 0.248 0.250 0.125
Pd: 0.250 0.748 0.375
Pd: 0.250 0.752 0.875
Pd: 0.252 0.250 0.625
Pd: 0.748 0.750 0.625
Pd: 0.750 0.248 0.875
Pd: 0.750 0.252 0.375
Pd: 0.752 0.750 0.125

---

[2]
Here is a relaxed SmZn2InAu5 crystal from Alexandria. Energies are from GGA-PBE.

Symmetry: No. 123
Total energy (eV per atom): -3.231

Cell lengths 4.880, 4.880, 7.852 Å; angles 90.00, 90.00, 90.00 degrees
Sites, in units of the cell vectors:
Sm: 0.000 0.000 0.000
Zn: 0.500 0.500 0.347
Zn: 0.500 0.500 0.653
In: 0.000 0.000 0.500
Au: 0.000 0.500 0.237
Au: 0.000 0.500 0.763
Au: 0.500 0.000 0.237
Au: 0.500 0.000 0.763
Au: 0.500 0.500 0.000